1.
LiLaReIr2 | PBE | optimized geometry

Results
Calculated formation energy: 2048.3 meV per atom
Space group: P4/mmm, No. 123
Spin magnetization: 0.00 μB/cell

abc: 4.872 4.872 4.301
angles: 90.00 90.00 90.00
Positions (direct):
1 Li 0.000 0.000 0.000
2 La 0.000 0.000 0.500
3 Re 0.500 0.500 0.000
4 Ir 0.000 0.500 0.500
5 Ir 0.500 0.000 0.500



2.
Li2LaIrRu | PBE | optimized geometry

Results
Calculated formation energy: 94.3 meV per atom
Space group: P4/mmm, No. 123
Spin magnetization: 0.00 μB/cell

abc: 4.559 4.559 4.818
angles: 90.00 90.00 90.00
Positions (direct):
1 Li 0.000 0.500 0.000
2 Li 0.500 0.000 0.000
3 La 0.000 0.000 0.500
4 Ir 0.500 0.500 0.500
5 Ru 0.500 0.500 0.000